1.
Ba2CeTm3O8, relaxed, DFT GGA-PBE; VASP energy = -0.2817 Ha/atom; formation energy from raw total energies = -3.1747 eV/atom
1.0
3.462 1.999 6.116
-3.462 1.999 6.116
0.000 -3.998 6.116
Ba Ce Tm O
2 1 3 8
Direct
0.000 0.000 0.000
0.375 0.375 0.375
0.761 0.761 0.761
0.373 0.373 0.883
0.373 0.883 0.373
0.883 0.373 0.373
0.124 0.124 0.566
0.124 0.566 0.124
0.146 0.146 0.146
0.149 0.636 0.636
0.566 0.124 0.124
0.610 0.610 0.610
0.636 0.149 0.636
0.636 0.636 0.149


2.
KP2W, relaxed, DFT GGA-PBE; VASP energy = -0.2004 Ha/atom; excess energy over the best structure of this formula in the dataset = 0.968 eV/atom; formation energy = 764 meV per atom
1.0
1.686 -2.181 0.000
1.686 2.181 0.000
0.000 0.000 11.231
K P W
1 2 1
Direct
0.000 0.000 0.000
0.000 0.000 0.562
0.500 0.500 0.238
0.500 0.500 0.724


3.
SiTcOF2, relaxed, DFT GGA-PBE; VASP energy = -0.2046 Ha/atom; excess energy over the best structure of this formula in the dataset = 0.050 eV/atom; formation energy from raw total energies = -0.6688 eV/atom
1.0
4.306 0.000 0.000
0.000 4.306 0.000
0.000 0.000 3.755
Si Tc O F
1 1 1 2
Direct
0.000 0.000 0.000
0.500 0.500 0.500
0.500 0.500 0.000
0.000 0.500 0.500
0.500 0.000 0.500


4.
GaCoSe2, relaxed, DFT GGA-PBE; VASP energy = -0.1679 Ha/atom; formation energy from raw total energies = -0.2922 eV/atom
1.0
7.794 -1.881 0.000
7.794 1.881 0.000
-2.871 0.000 6.285
Ga Co Se
2 2 4
Direct
0.000 0.000 0.000
0.630 0.630 0.669
0.404 0.404 0.041
0.793 0.793 0.818
0.026 0.026 0.670
0.319 0.319 0.676
0.581 0.581 0.246
0.847 0.847 0.172


> Which value of VASP energy does entry 1 give?

-0.2817 Ha/atom


> Among the records above, which one has the lowest VASP energy?

Ba2CeTm3O8


> Look up the VASP energy of the second one.

-0.2004 Ha/atom


> What is the VASP energy in the first record?

-0.2817 Ha/atom